The following is a DFT calculation (PBE) of a relaxed structure of KCuN3.

Lattice parameters (Å, degrees): 4.244 4.244 4.244 90.00 90.00 90.00
Element x y z (fractional)
K 0.000 0.000 0.000
Cu 0.500 0.500 0.500
N 0.000 0.000 0.500
N 0.000 0.500 0.000
N 0.500 0.000 0.000

Calculated values
Calculated volume, Å³/cell: 76.43
Density, g cm⁻³: 3.14
E, eV for the cell shown: -11.57